Arrangement A

This record from the Alexandria database describes a geometry-optimized LaCePd structure. The functional is PBE-GGA.

Cell and atoms, written as POSCAR:
```
LaCePd
1.0
-2.863 2.381 0.298
-1.984 -2.089 -2.377
0.455 -3.037 5.224
Ce Pd La
1 1 1
direct
0.304 0.304 0.607
0.937 0.937 0.875
0.609 0.609 0.218
```

Results
Magnetic moment (Bohr magnetons per cell): 0.15
Crystal system: tetragonal
Symmetry: I4mm



Arrangement B

This record from the Alexandria database describes a geometry-optimized LaCePd structure. The functional is PBE-GGA.

Cell and atoms, written as POSCAR:
```
LaCePd
1.0
-3.615 -2.349 1.086
0.511 -2.377 -3.442
4.825 -5.078 5.080
La Ce Pd
2 2 2
direct
0.814 0.886 0.564
0.314 0.346 0.275
0.814 0.422 0.937
0.314 0.811 0.902
0.814 0.877 0.203
0.314 0.356 0.636
```

Results
Magnetic moment (Bohr magnetons per cell): 0.43
Crystal system: monoclinic
Symmetry: P2_1/m



Arrangement C

This record from the Alexandria database describes a geometry-optimized LaCePd structure. The functional is PBE-GGA.

Cell and atoms, written as POSCAR:
```
LaCePd
1.0
3.970 0.000 0.000
0.000 6.947 -0.645
-1.985 -2.878 6.475
La Ce Pd
2 2 2
direct
0.499 0.241 0.999
0.501 0.759 0.001
0.787 0.787 0.574
0.213 0.213 0.426
0.126 0.624 0.251
0.874 0.376 0.749
```

Results
Magnetic moment (Bohr magnetons per cell): 1.92
Crystal system: monoclinic
Symmetry: C2/m



It is arrangement B that is the most stable of them.